[1]
# LaEr2O

An optimized crystal structure of LaEr2O (PBE, Alexandria).

Lattice parameters (Å, degrees): 3.4396 3.4396 28.4066 90.00 90.00 120.00
Closest atoms and distances in Å follow each position.
Element x y z (fractional)
1 La 0.0000 0.0000 0.0000  2 Er 3.42, 6 La 3.44
2 La 0.3333 0.6667 0.6667  2 Er 3.42, 6 La 3.44
3 La 0.6667 0.3333 0.3333  2 Er 3.42, 6 La 3.44
4 Er 0.0000 0.0000 0.1203  3 O 2.38
5 Er 0.0000 0.0000 0.8797  3 O 2.38
6 Er 0.3333 0.6667 0.5463  3 O 2.38
7 Er 0.3333 0.6667 0.7870  3 O 2.38
8 Er 0.6667 0.3333 0.2130  3 O 2.38
9 Er 0.6667 0.3333 0.4537  3 O 2.38
10 O 0.0000 0.0000 0.5000  6 Er 2.38
11 O 0.3333 0.6667 0.1667  6 Er 2.38
12 O 0.6667 0.3333 0.8333  6 Er 2.38

Its relative energy among the computed polymorphs is 0 meV/atom. The formation energy from raw total energies is -1236 meV/atom.

---

[2]
# LaFe2W

An optimized crystal structure of LaFe2W (PBE, Alexandria).

Lattice parameters (Å, degrees): 4.1633 4.1633 16.2839 90.00 90.00 120.00
Closest atoms and distances in Å follow each position.
Element x y z (fractional)
1 La 0.0000 0.0000 0.0000  4 W 3.11-3.34, 4 Fe 3.21-3.27
2 La 0.3333 0.6667 0.6667  4 W 3.11-3.34, 4 Fe 3.21-3.27
3 La 0.6667 0.3333 0.3333  4 W 3.11-3.34, 4 Fe 3.21-3.27
4 Fe 0.0000 0.0000 0.5056  3 W 2.42, 3 Fe 2.47
5 Fe 0.0000 0.0000 0.8028  3 Fe 2.47, 3 W 2.56
6 Fe 0.3333 0.6667 0.1723  3 W 2.42, 3 Fe 2.47
7 Fe 0.3333 0.6667 0.4695  3 Fe 2.47, 3 W 2.56
8 Fe 0.6667 0.3333 0.1362  3 Fe 2.47, 3 W 2.56
9 Fe 0.6667 0.3333 0.8390  3 W 2.42, 3 Fe 2.47
10 W 0.0000 0.0000 0.1911  6 Fe 2.42-2.56
11 W 0.3333 0.6667 0.8578  6 Fe 2.42-2.56
12 W 0.6667 0.3333 0.5244  6 Fe 2.42-2.56

For the formation energy, the calculation gives 0.33 eV per atom. Its relative energy among the computed polymorphs is 81 meV/atom.

---

[3]
# Tb2PuPb3

An optimized crystal structure of Tb2PuPb3 (PBE, Alexandria).

Lattice parameters (Å, degrees): 3.5194 3.5194 13.6534 90.00 90.00 90.00
Closest atoms and distances in Å follow each position.
Element x y z (fractional)
1 Tb 0.0000 0.0000 0.1661  8 Pb 3.35-3.37, 4 Tb 3.52
2 Tb 0.0000 0.0000 0.8339  8 Pb 3.35-3.37, 4 Tb 3.52
3 Pu 0.0000 0.0000 0.5000  8 Pb 3.40, 4 Pu 3.52
4 Pb 0.5000 0.5000 0.0000  8 Tb 3.37, 4 Pb 3.52
5 Pb 0.5000 0.5000 0.3306  4 Tb 3.35, 4 Pu 3.40, 4 Pb 3.52
6 Pb 0.5000 0.5000 0.6694  4 Tb 3.35, 4 Pu 3.40, 4 Pb 3.52

For the formation energy, the calculation gives -0.36 eV per atom.

---

[4]
# LiTlPSe4

An optimized crystal structure of LiTlPSe4 (PBE, Alexandria).

Lattice parameters (Å, degrees): 6.5833 6.4299 9.7218 90.00 105.34 90.00
Closest atoms and distances in Å follow each position.
Element x y z (fractional)
1 Li 0.1441 0.2500 0.0371  5 Se 2.58-2.77
2 Li 0.8559 0.7500 0.9629  5 Se 2.58-2.77
3 Tl 0.1922 0.2500 0.5326  8 Se 3.39-3.62, 1 P 3.64
4 Tl 0.8078 0.7500 0.4674  8 Se 3.39-3.62, 1 P 3.64
5 P 0.2321 0.7500 0.7958  4 Se 2.18-2.26
6 P 0.7679 0.2500 0.2042  4 Se 2.18-2.26
7 Se 0.0054 0.0112 0.7929  1 P 2.24
8 Se 0.0054 0.4888 0.7929  1 P 2.24
9 Se 0.3477 0.7500 0.6052  1 P 2.18
10 Se 0.4852 0.7500 0.0044  1 P 2.26
11 Se 0.5148 0.2500 0.9956  1 P 2.26
12 Se 0.6523 0.2500 0.3948  1 P 2.18
13 Se 0.9946 0.5112 0.2071  1 P 2.24
14 Se 0.9946 0.9888 0.2071  1 P 2.24

The formation energy from raw total energies is -370 meV/atom.